8
Lattice="4.198 0.000 0.000 0.000 4.198 0.000 0.000 0.000 10.390" Properties=species:S:1:pos:R:3 comment="Zr6AlNi (PBE, relaxed)" sg="P4/mmm, No. 123" formation_enthalpy_0k_ev_per_atom=0.314 de_polymorph_kj_per_mol_fu=0 magmom_total_mub_per_fu=0.00 pbc="T T T"
Zr 0.000 0.000 1.239
Zr 0.000 0.000 9.152
Zr 0.000 2.099 3.555
Zr 0.000 2.099 6.836
Zr 2.099 0.000 3.555
Zr 2.099 0.000 6.836
Al 2.099 2.099 0.000
Ni 2.099 2.099 5.195

=====

29
Lattice="7.268 0.000 0.000 -0.609 7.568 0.000 -0.533 -2.245 8.185" Properties=species:S:1:pos:R:3 comment="Cu3I6O20 (PBE, relaxed)" sg="P-1, No. 2" magmom_total_mub_per_fu=5.00 formation_energy_uncorrected_ev_per_atom=-0.204 pbc="T T T"
Cu 0.000 0.000 0.000
Cu 2.484 1.498 4.803
Cu 3.642 3.825 3.382
I 0.264 2.510 7.055
I 0.644 5.588 3.357
I 2.389 -1.055 7.052
I 3.737 6.378 1.133
I 5.482 -0.265 4.828
I 5.862 2.813 1.130
O -0.401 4.269 6.811
O 0.118 3.776 1.396
O 0.623 -0.854 7.712
O 1.059 -0.574 4.543
O 0.838 2.504 5.295
O 1.228 6.449 1.854
O 2.403 2.348 3.104
O 2.266 5.045 4.080
O 2.455 0.767 6.689
O 2.367 4.032 7.695
O 3.759 1.291 0.490
O 3.671 4.556 1.496
O 3.859 0.278 4.105
O 3.723 2.975 5.081
O 4.898 -1.126 6.331
O 5.288 2.819 2.890
O 5.067 5.897 3.642
O 5.502 6.177 0.473
O 6.007 1.547 6.789
O 6.527 1.054 1.374

=====

12
Lattice="5.500 0.000 0.000 0.000 4.857 0.000 0.000 0.000 5.742" Properties=species:S:1:pos:R:3 comment="CdReO4 (PBE, relaxed)" sg="Pnc2, No. 30" magmom_total_mub_per_fu=0.00 formation_energy_uncorrected_ev_per_atom=-1.346 pbc="T T T"
Cd 0.000 0.000 0.000
Cd 0.000 2.429 2.871
Re 2.750 0.000 2.114
Re 2.750 2.429 4.985
O 1.150 0.866 1.815
O 1.150 1.563 4.686
O 2.053 3.630 0.538
O 2.053 3.656 3.409
O 3.447 1.201 3.409
O 3.447 1.227 0.538
O 4.351 3.295 4.686
O 4.351 3.991 1.815

=====

11
Lattice="3.575 -6.179 0.000 3.575 6.179 0.000 -2.395 0.000 6.939" Properties=species:S:1:pos:R:3 comment="Pm6P3Br2 (PBE, relaxed)" sg="C2/m, No. 12" magmom_total_mub_per_fu=0.00 formation_energy_uncorrected_ev_per_atom=-1.366 pbc="T T T"
Pm -0.034 2.026 5.413
Pm 1.154 0.000 1.480
Pm -0.034 -2.026 5.413
Pm 4.789 2.026 1.525
Pm 3.601 0.000 5.458
Pm 4.789 -2.026 1.525
P 3.575 4.068 0.000
P 3.575 0.000 0.000
P 3.575 -4.068 0.000
Br 2.377 2.040 3.469
Br 2.377 -2.040 3.469

=====

20
Lattice="8.595 -4.156 0.000 8.595 4.156 0.000 -7.400 0.000 9.874" Properties=species:S:1:pos:R:3 comment="K2WBr7 (PBE, relaxed)" sg="C2/c, No. 15" magmom_total_mub_per_fu=0.98 formation_energy_uncorrected_ev_per_atom=-0.851 pbc="T T T"
K -0.645 2.881 9.638
K 6.735 2.881 5.172
K 3.055 -2.881 4.701
K 10.435 -2.881 0.235
W 3.045 1.751 7.405
W 6.745 -1.751 2.468
Br -0.269 0.187 2.544
Br -3.969 -0.187 7.480
Br 3.338 1.799 4.927
Br 0.546 0.959 7.084
Br 10.153 1.799 0.010
Br 6.745 0.892 2.468
Br 4.246 -0.959 2.147
Br 5.544 0.959 7.727
Br 3.045 -0.892 7.405
Br -0.362 -1.799 9.864
Br 9.244 -0.959 2.790
Br 6.453 -1.799 4.947
Br 13.759 0.187 2.393
Br 10.059 -0.187 7.330

=====

4
Lattice="4.679 0.000 0.000 0.000 2.069 5.930 0.000 -2.069 5.930" Properties=species:S:1:pos:R:3 comment="ScTlTe2 (PBE, relaxed)" sg="Amm2, No. 38" magmom_total_mub_per_fu=0.00 formation_energy_uncorrected_ev_per_atom=-0.623 pbc="T T T"
Sc 0.000 0.000 0.000
Tl 2.339 0.000 9.783
Te 0.000 0.000 3.679
Te 2.339 0.000 6.797

=====

6
Lattice="5.765 -3.285 0.000 5.765 3.285 0.000 -3.713 0.000 5.490" Properties=species:S:1:pos:R:3 comment="NaSr2Li3 (PBE, relaxed)" sg="C2/m, No. 12" formation_enthalpy_0k_ev_per_atom=0.025 magmom_total_mub_per_fu=0.00 pbc="T T T"
Na 0.000 0.000 0.000
Sr 3.856 0.000 0.725
Sr 3.961 0.000 4.765
Li -1.856 0.000 2.745
Li 1.026 1.642 2.745
Li 1.026 -1.642 2.745

=====

5
Lattice="5.250 0.000 0.000 0.000 5.250 0.000 0.000 0.000 5.250" Properties=species:S:1:pos:R:3 comment="CaTb3B (PBE, relaxed)" sg="Pm-3m, No. 221" formation_enthalpy_0k_ev_per_atom=0.066 magmom_total_mub_per_fu=0.00 pbc="T T T"
Ca 0.000 0.000 0.000
Tb 0.000 2.625 2.625
Tb 2.625 0.000 2.625
Tb 2.625 2.625 0.000
B 2.625 2.625 2.625

=====

80
Lattice="-8.798 8.798 8.798 8.798 -8.798 8.798 8.798 8.798 -8.798" Properties=species:S:1:pos:R:3 comment="Cd3Ag5Br12 (PBE, relaxed)" sg="Ia-3d, No. 230" magmom_total_mub_per_fu=0.00 formation_energy_uncorrected_ev_per_atom=-0.438 pbc="T T T"
Cd 4.399 2.199 0.000
Cd 8.798 4.399 -2.199
Cd 2.199 0.000 4.399
Cd 10.997 0.000 4.399
Cd 0.000 4.399 2.199
Cd 4.399 -2.199 8.798
Cd 4.399 10.997 0.000
Cd 8.798 4.399 6.598
Cd -2.199 8.798 4.399
Cd 6.598 8.798 4.399
Cd 0.000 4.399 10.997
Cd 4.399 6.598 8.798
Ag 0.000 0.000 0.000
Ag 4.399 4.399 -4.399
Ag 4.399 -4.399 4.399
Ag 8.798 0.000 0.000
Ag 13.196 2.199 0.000
Ag 8.798 -4.399 6.598
Ag 6.598 8.798 -4.399
Ag 6.598 0.000 4.399
Ag 4.399 6.598 0.000
Ag 8.798 4.399 2.199
Ag -4.399 4.399 4.399
Ag 0.000 8.798 0.000
Ag 0.000 0.000 8.798
Ag 4.399 4.399 4.399
Ag 0.000 4.399 6.598
Ag 4.399 2.199 8.798
Ag 2.199 8.798 4.399
Ag 2.199 0.000 13.196
Ag 0.000 13.196 2.199
Ag -4.399 6.598 8.798
Br 7.131 -4.163 4.301
Br 14.863 -0.098 0.235
Br 7.131 4.634 -4.301
Br 6.065 0.098 0.235
Br 8.896 8.562 -6.065
Br 4.301 -1.666 4.163
Br 4.163 4.301 -1.666
Br 9.033 2.733 -0.098
Br 4.634 -4.301 7.131
Br 8.562 -6.065 8.896
Br 4.301 7.131 -4.163
Br 8.896 0.235 2.733
Br 8.896 -0.235 6.065
Br 13.098 1.666 4.163
Br 4.634 4.301 1.666
Br 8.562 6.065 -0.098
Br 0.235 6.065 0.098
Br 12.961 4.497 1.666
Br 0.098 0.235 6.065
Br 4.301 1.666 4.634
Br -1.666 4.163 4.301
Br 6.065 -0.098 8.562
Br 6.065 8.896 -0.235
Br 7.131 4.163 4.497
Br 1.666 4.634 4.301
Br 2.733 -0.098 9.033
Br 2.733 8.896 0.235
Br 10.464 4.634 4.497
Br 4.497 7.131 4.163
Br 8.699 8.562 2.733
Br -4.163 4.301 7.131
Br 8.562 2.733 8.699
Br 0.235 2.733 8.896
Br 4.163 4.497 7.131
Br -4.301 7.131 4.634
Br -0.098 9.033 2.733
Br -0.098 8.562 6.065
Br 4.497 1.666 12.961
Br 0.235 14.863 -0.098
Br 4.163 13.098 1.666
Br -0.235 6.065 8.896
Br 4.634 4.497 10.464
Br 4.497 10.464 4.634
Br -0.098 0.235 14.863
Br 2.733 8.699 8.562
Br 1.666 4.163 13.098
Br -6.065 8.896 8.562
Br 1.666 12.961 4.497